Record 1
The following is a DFT calculation (PBE) of a relaxed structure of Y2HfBe.

The total magnetization is 1.10 μB per formula unit. Its calculated total energy is -6.1713 eV per atom.

The structure belongs to space group F-43m (No. 216); the cell edges are 7.154, 7.154 and 7.154 Å and the angles 90.00°, 90.00° and 90.00°. Symmetry generates all atoms from Y at (0.000, 0.000, 0.000), Y at (0.250, 0.250, 0.250), Hf at (0.250, 0.250, 0.750) and Be at (0.000, 0.000, 0.500).

---

Record 2
The following is a DFT calculation (PBE) of a relaxed structure of Pr2Y2CICl4.

As for the energy relative to the lowest polymorph listed for this composition: 10 meV per atom. The total magnetization is 0.38 μB per formula unit. Its calculated total energy is -5.6352 eV per atom.

The structure belongs to space group C2/m (No. 12); the cell edges are 17.511, 3.880 and 8.481 Å and the angles 90.00°, 104.69° and 90.00°. Symmetry generates all atoms from Pr at (0.149, 0.000, 0.081), Y at (0.001, 0.500, 0.808), C at (0.000, 0.000, 0.000), I at (0.000, 0.000, 0.500), Cl at (0.159, 0.500, 0.331) and Cl at (0.165, 0.500, 0.837).

---

Record 3
The following is a DFT calculation (PBE) of a relaxed structure of NpTePd.

As for the energy relative to the lowest polymorph listed for this composition: 0 meV per atom. The total magnetization is 4.62 μB per formula unit. Its calculated total energy is -7.4515 eV per atom.

The structure belongs to space group F-43m (No. 216); the cell edges are 6.698, 6.698 and 6.698 Å and the angles 90.00°, 90.00° and 90.00°. Symmetry generates all atoms from Np at (0.000, 0.000, 0.000), Te at (0.000, 0.000, 0.500) and Pd at (0.250, 0.250, 0.250).

---

Record 4
The following is a DFT calculation (PBE) of a relaxed structure of SnB4Mo.

As for the energy relative to the lowest polymorph listed for this composition: 268 meV per atom. The total magnetization is 0.01 μB per formula unit. Its calculated total energy is -6.5816 eV per atom.

The structure belongs to space group Immm (No. 71); the cell edges are 3.064, 5.389 and 7.344 Å and the angles 90.00°, 90.00° and 90.00°. Symmetry generates all atoms from Sn at (0.000, 0.000, 0.000), B at (0.000, 0.337, 0.247) and Mo at (0.000, 0.000, 0.500).